Model 1:
Computed, not measured: a geometry-optimized TmPaGe2 structure at the PBE level of DFT.

Properties
The spin magnetization is 0.0 μB/f.u. The density of states at the Fermi level comes out at 4.675 states/eV per cell.

abc: 3.3257 3.3257 7.8537
angles: 90.00 90.00 90.00
With the nearest neighbours (Å) after each atom.
Sites, in units of the cell vectors:
Tm (0.0000, 0.0000, 0.0000)  8 Ge 3.05, 4 Tm 3.33
Pa (0.0000, 0.0000, 0.5000)  8 Ge 3.08, 4 Pa 3.33
Ge (0.5000, 0.5000, 0.2466)  4 Tm 3.05, 4 Pa 3.08, 4 Ge 3.33
Ge (0.5000, 0.5000, 0.7534)  4 Tm 3.05, 4 Pa 3.08, 4 Ge 3.33

Model 2:
Computed, not measured: a geometry-optimized TmPaGe2 structure at the PBE level of DFT.

Properties
The spin magnetization is 0.0 μB/f.u. The density of states at the Fermi level comes out at 6.186 states/eV per cell.

abc: 4.9935 4.9935 4.9935
angles: 60.00 60.00 60.00
With the nearest neighbours (Å) after each atom.
Sites, in units of the cell vectors:
Tm (0.0000, 0.0000, 0.0000)  8 Ge 3.06
Pa (0.5000, 0.5000, 0.5000)  8 Ge 3.06
Ge (0.2500, 0.2500, 0.2500)  4 Pa 3.06, 4 Tm 3.06
Ge (0.7500, 0.7500, 0.7500)  4 Pa 3.06, 4 Tm 3.06

Stability ranking, top and bottom: model 1 is the most stable and model 2 is the least stable.

Model 1:
Computed, not measured: a geometry-optimized UPaGe2 structure at the PBE level of DFT.

Properties
The spin magnetization is 1.7 μB/f.u. The density of states at the Fermi level comes out at 6.713 states/eV per cell.

abc: 10.0968 10.0968 10.0968
angles: 17.89 17.89 17.89
With the nearest neighbours (Å) after each atom.
Sites, in units of the cell vectors:
U (0.0000, 0.0000, 0.0000)  6 Ge 3.06, 6 U 3.14
Pa (0.5000, 0.5000, 0.5000)  6 Ge 3.09, 6 Pa 3.14
Ge (0.2505, 0.2505, 0.2505)  3 U 3.06, 3 Pa 3.09, 6 Ge 3.14
Ge (0.7495, 0.7495, 0.7495)  3 U 3.06, 3 Pa 3.09, 6 Ge 3.14

Model 2:
Computed, not measured: a geometry-optimized UPaGe2 structure at the PBE level of DFT.

Properties
The spin magnetization is 2.9 μB/f.u. The density of states at the Fermi level comes out at 9.942 states/eV per cell.

abc: 3.3065 3.3065 7.9155
angles: 90.00 90.00 90.00
With the nearest neighbours (Å) after each atom.
Sites, in units of the cell vectors:
U (0.0000, 0.0000, 0.0000)  8 Ge 3.06, 4 U 3.31
Pa (0.0000, 0.0000, 0.5000)  8 Ge 3.07, 4 Pa 3.31
Ge (0.5000, 0.5000, 0.2488)  4 U 3.06, 4 Pa 3.07, 4 Ge 3.31
Ge (0.5000, 0.5000, 0.7512)  4 U 3.06, 4 Pa 3.07, 4 Ge 3.31

Model 3:
Computed, not measured: a geometry-optimized UPaGe2 structure at the PBE level of DFT.

Properties
The spin magnetization is 2.8 μB/f.u. The density of states at the Fermi level comes out at 8.501 states/eV per cell.

abc: 4.9758 4.9758 4.9758
angles: 60.00 60.00 60.00
With the nearest neighbours (Å) after each atom.
Sites, in units of the cell vectors:
U (0.0000, 0.0000, 0.0000)  8 Ge 3.05
Pa (0.5000, 0.5000, 0.5000)  8 Ge 3.05
Ge (0.2500, 0.2500, 0.2500)  4 Pa 3.05, 4 U 3.05
Ge (0.7500, 0.7500, 0.7500)  4 Pa 3.05, 4 U 3.05

Stability ranking, top and bottom: model 2 is the most stable and model 1 is the least stable.

Model 1:
Computed, not measured: a geometry-optimized PaVGe2 structure at the PBE level of DFT.

Properties
The spin magnetization is 2.5 μB/f.u. The density of states at the Fermi level comes out at 4.071 states/eV per cell.

abc: 4.2408 4.2408 4.2023
angles: 90.00 90.00 90.00
With the nearest neighbours (Å) after each atom.
Sites, in units of the cell vectors:
Pa (0.0000, 0.0000, 0.0000)  8 Ge 2.99, 4 V 3.00
V (0.5000, 0.5000, 0.0000)  8 Ge 2.99, 4 Pa 3.00
Ge (0.0000, 0.5000, 0.5000)  4 Pa 2.99, 4 V 2.99, 4 Ge 3.00
Ge (0.5000, 0.0000, 0.5000)  4 Pa 2.99, 4 V 2.99, 4 Ge 3.00

Model 2:
Computed, not measured: a geometry-optimized PaVGe2 structure at the PBE level of DFT.

Properties
The spin magnetization is 2.1 μB/f.u. The density of states at the Fermi level comes out at 6.608 states/eV per cell.

abc: 7.7073 7.7073 7.7073
angles: 33.66 33.66 33.66
With the nearest neighbours (Å) after each atom.
Sites, in units of the cell vectors:
Pa (0.0000, 0.0000, 0.0000)  6 Ge 2.84
V (0.5000, 0.5000, 0.5000)  2 Ge 2.44
Ge (0.3882, 0.3882, 0.3882)  1 V 2.44
Ge (0.6118, 0.6118, 0.6118)  1 V 2.44

Model 3:
Computed, not measured: a geometry-optimized PaVGe2 structure at the PBE level of DFT.

Properties
The spin magnetization is 0.0 μB/f.u. The density of states at the Fermi level comes out at 4.159 states/eV per cell.

abc: 3.3963 3.3963 6.2452
angles: 90.00 90.00 90.00
With the nearest neighbours (Å) after each atom.
Sites, in units of the cell vectors:
Pa (0.0000, 0.0000, 0.0000)  8 Ge 3.03, 2 V 3.12
V (0.0000, 0.0000, 0.5000)  8 Ge 2.72
Ge (0.5000, 0.5000, 0.2963)  1 Ge 2.54, 4 V 2.72
Ge (0.5000, 0.5000, 0.7037)  1 Ge 2.54, 4 V 2.72

Model 4:
Computed, not measured: a geometry-optimized PaVGe2 structure at the PBE level of DFT.

Properties
The spin magnetization is 0.0 μB/f.u. The density of states at the Fermi level comes out at 8.113 states/eV per cell.

abc: 5.4852 5.4852 7.8633
angles: 90.00 90.00 141.47
With the nearest neighbours (Å) after each atom.
Sites, in units of the cell vectors:
Pa (0.0546, 0.9454, 0.7500)  3 V 2.77-3.01, 4 Ge 3.03
Pa (0.9454, 0.0546, 0.2500)  3 V 2.77-3.01, 4 Ge 3.03
V (0.2129, 0.7871, 0.2500)  6 Ge 2.58-2.72, 1 Pa 2.77
V (0.7871, 0.2129, 0.7500)  6 Ge 2.58-2.72, 1 Pa 2.77
Ge (0.3599, 0.6401, 0.5371)  3 V 2.58-2.72
Ge (0.3599, 0.6401, 0.9629)  3 V 2.58-2.72
Ge (0.6401, 0.3599, 0.0371)  3 V 2.58-2.72
Ge (0.6401, 0.3599, 0.4629)  3 V 2.58-2.72

Stability ranking, top and bottom: model 4 is the most stable and model 2 is the least stable.

Model 1:
Computed, not measured: a geometry-optimized Pa2VGe structure at the PBE level of DFT.

Properties
The spin magnetization is 0.1 μB/f.u. The density of states at the Fermi level comes out at 7.069 states/eV per cell.

abc: 4.9233 4.9233 4.9233
angles: 60.00 60.00 60.00
With the nearest neighbours (Å) after each atom.
Sites, in units of the cell vectors:
Pa (0.2500, 0.2500, 0.2500)  4 Ge 3.01, 4 V 3.01
Pa (0.7500, 0.7500, 0.7500)  4 Ge 3.01, 4 V 3.01
V (0.0000, 0.0000, 0.0000)  8 Pa 3.01
Ge (0.5000, 0.5000, 0.5000)  8 Pa 3.01

Model 2:
Computed, not measured: a geometry-optimized Pa2VGe structure at the PBE level of DFT.

Properties
The spin magnetization is 0.0 μB/f.u. The density of states at the Fermi level comes out at 6.164 states/eV per cell.

abc: 10.4411 10.4411 10.4411
angles: 16.80 16.80 16.80
With the nearest neighbours (Å) after each atom.
Sites, in units of the cell vectors:
Pa (0.0825, 0.0825, 0.0825)  1 V 2.55
Pa (0.9175, 0.9175, 0.9175)  1 V 2.55
V (0.0000, 0.0000, 0.0000)  2 Pa 2.55
Ge (0.5000, 0.5000, 0.5000)  6 Ge 3.05, 6 Pa 3.14

Model 3:
Computed, not measured: a geometry-optimized Pa2VGe structure at the PBE level of DFT.

Properties
The spin magnetization is 0.9 μB/f.u. The density of states at the Fermi level comes out at 7.119 states/eV per cell.

abc: 3.7152 3.7152 6.1585
angles: 90.00 90.00 90.00
With the nearest neighbours (Å) after each atom.
Sites, in units of the cell vectors:
Pa (0.0000, 0.0000, 0.2352)  1 Pa 2.90, 4 Ge 3.00, 4 V 3.09
Pa (0.0000, 0.0000, 0.7648)  1 Pa 2.90, 4 Ge 3.00, 4 V 3.09
V (0.5000, 0.5000, 0.5000)  2 Ge 3.08, 8 Pa 3.09
Ge (0.5000, 0.5000, 0.0000)  8 Pa 3.00, 2 V 3.08

Stability ranking, top and bottom: model 3 is the most stable and model 2 is the least stable.

Model 1:
Computed, not measured: a geometry-optimized Pa2GeW structure at the PBE level of DFT.

Properties
The spin magnetization is 0.0 μB/f.u. The density of states at the Fermi level comes out at 6.027 states/eV per cell.

abc: 4.9727 4.9727 4.9727
angles: 60.00 60.00 60.00
With the nearest neighbours (Å) after each atom.
Sites, in units of the cell vectors:
Pa (0.2500, 0.2500, 0.2500)  4 W 3.05, 4 Ge 3.05
Pa (0.7500, 0.7500, 0.7500)  4 Ge 3.05, 4 W 3.05
Ge (0.0000, 0.0000, 0.0000)  8 Pa 3.05
W (0.5000, 0.5000, 0.5000)  8 Pa 3.05

Model 2:
Computed, not measured: a geometry-optimized Pa2GeW structure at the PBE level of DFT.

Properties
The spin magnetization is 0.0 μB/f.u. The density of states at the Fermi level comes out at 3.878 states/eV per cell.

abc: 3.7079 3.7079 6.2276
angles: 90.00 90.00 90.00
With the nearest neighbours (Å) after each atom.
Sites, in units of the cell vectors:
Pa (0.0000, 0.0000, 0.2377)  2 Pa 2.96-3.27, 4 Ge 3.01, 4 W 3.09
Pa (0.0000, 0.0000, 0.7623)  2 Pa 2.96-3.27, 4 Ge 3.01, 4 W 3.09
Ge (0.5000, 0.5000, 0.0000)  8 Pa 3.01, 2 W 3.11
W (0.5000, 0.5000, 0.5000)  8 Pa 3.09, 2 Ge 3.11

Stability ranking, top and bottom: model 2 is the most stable and model 1 is the least stable.

Model 1:
Computed, not measured: a geometry-optimized Pa2GeW structure at the PBE level of DFT.

Properties
The spin magnetization is 0.0 μB/f.u. The density of states at the Fermi level comes out at 4.863 states/eV per cell.

abc: 10.7599 10.7599 10.7599
angles: 16.36 16.36 16.36
With the nearest neighbours (Å) after each atom.
Sites, in units of the cell vectors:
Pa (0.0860, 0.0860, 0.0860)  1 W 2.74, 6 Pa 3.06
Pa (0.9140, 0.9140, 0.9140)  1 W 2.74, 6 Pa 3.06
Ge (0.5000, 0.5000, 0.5000)  6 Ge 3.06, 6 Pa 3.12
W (0.0000, 0.0000, 0.0000)  2 Pa 2.74, 6 W 3.06

Model 2:
Computed, not measured: a geometry-optimized Pa2GeW structure at the PBE level of DFT.

Properties
The spin magnetization is 0.0 μB/f.u. The density of states at the Fermi level comes out at 4.941 states/eV per cell.

abc: 4.4215 4.4215 4.2168
angles: 90.00 90.00 90.00
With the nearest neighbours (Å) after each atom.
Sites, in units of the cell vectors:
Pa (0.0000, 0.5000, 0.0000)  4 Ge 3.05, 4 W 3.05, 4 Pa 3.13
Pa (0.5000, 0.0000, 0.0000)  4 Ge 3.05, 4 W 3.05, 4 Pa 3.13
Ge (0.0000, 0.0000, 0.5000)  8 Pa 3.05, 4 W 3.13
W (0.5000, 0.5000, 0.5000)  8 Pa 3.05, 4 Ge 3.13

Stability ranking, top and bottom: model 2 is the most stable and model 1 is the least stable.